VASP calculation (GGA-PBE) on a relaxed structure of Nd3Zn2Co.

The structure in extended XYZ format:
```
24
Lattice="12.277 0.000 0.000 0.000 4.551 0.000 0.000 0.000 10.490" Properties=species:S:1:pos:R:3 pbc="T T T"
Nd 0.695 1.138 1.185
Nd 1.330 3.413 5.896
Nd 2.955 1.138 8.227
Nd 3.183 3.413 2.982
Nd 4.808 1.138 0.650
Nd 5.444 3.413 6.430
Nd 6.834 1.138 4.060
Nd 7.469 3.413 9.840
Nd 9.094 1.138 7.508
Nd 9.322 3.413 2.263
Nd 10.947 1.138 4.595
Nd 11.582 3.413 9.305
Zn 0.156 3.413 3.114
Zn 2.568 3.413 10.329
Zn 3.571 1.138 5.084
Zn 5.983 1.138 8.360
Zn 6.294 3.413 2.131
Zn 8.706 3.413 5.406
Zn 9.710 1.138 0.161
Zn 12.122 1.138 7.376
Co 1.395 1.138 3.802
Co 4.743 3.413 9.047
Co 7.534 1.138 1.443
Co 10.882 3.413 6.689
```

Values from the calculation:
Its formation energy is -1.3 eV per formula unit. Its space-group type is Pnma (62).



VASP calculation (GGA-PBE) on a relaxed structure of SrHoSn2.

The structure in extended XYZ format:
```
4
Lattice="5.130 0.000 0.000 0.000 5.130 0.000 0.000 0.000 4.444" Properties=species:S:1:pos:R:3 pbc="T T T"
Sr 0.000 0.000 0.000
Ho 2.565 2.565 0.000
Sn 0.000 2.565 2.222
Sn 2.565 0.000 2.222
```

Values from the calculation:
Its formation energy is -2.0 eV per formula unit. Its space-group type is P4/mmm (123).



VASP calculation (GGA-PBE) on a relaxed structure of RbCa2Ni.

The structure in extended XYZ format:
```
8
Lattice="-4.171 4.171 5.982 4.171 -4.171 5.982 4.171 4.171 -5.982" Properties=species:S:1:pos:R:3 pbc="T T T"
Rb 4.171 2.085 1.496
Rb 0.000 2.085 4.487
Ca 0.000 0.000 0.000
Ca 2.085 2.085 -2.991
Ca 2.085 -2.085 2.991
Ca 0.000 4.171 0.000
Ni 4.171 -2.085 4.487
Ni 0.000 6.256 1.496
```

Values from the calculation:
As for the energy above the most stable polymorph in this dataset: 0.2039 eV/atom. Its formation energy is 1.3 eV per formula unit. Its space-group type is I4_1/amd (141).



VASP calculation (GGA-PBE) on a relaxed structure of PmThTeP.

The structure in extended XYZ format:
```
4
Lattice="2.094 1.209 7.464 -2.094 1.209 7.464 0.000 -2.418 7.464" Properties=species:S:1:pos:R:3 pbc="T T T"
Pm 0.000 0.000 0.000
Th 0.000 0.000 18.006
Te 0.000 0.000 5.265
P 0.000 0.000 9.032
```

Values from the calculation:
The formation energy without anion corrections is -1.472 eV per atom. Its space-group type is R3m (160).



VASP calculation (GGA-PBE) on a relaxed structure of PmAl2As.

The structure in extended XYZ format:
```
4
Lattice="4.244 0.000 0.000 0.000 4.244 0.000 0.000 0.000 4.647" Properties=species:S:1:pos:R:3 pbc="T T T"
Pm 0.000 0.000 0.000
Al 0.000 2.122 2.323
Al 2.122 0.000 2.323
As 2.122 2.122 0.000
```

Values from the calculation:
Its formation energy is -1.9 eV per formula unit. Its space-group type is P4/mmm (123).



VASP calculation (GGA-PBE) on a relaxed structure of Li2TbErHg4.

The structure in extended XYZ format:
```
8
Lattice="2.507 1.447 8.192 -2.507 1.447 8.192 0.000 -2.895 8.192" Properties=species:S:1:pos:R:3 pbc="T T T"
Li 0.000 0.000 6.131
Li 0.000 0.000 18.446
Tb 0.000 0.000 0.000
Er 0.000 0.000 12.289
Hg 0.000 0.000 3.093
Hg 0.000 0.000 9.242
Hg 0.000 0.000 15.336
Hg 0.000 0.000 21.485
```

Values from the calculation:
Its formation energy is -3.5 eV per formula unit. Its space-group type is R-3m (166).



VASP calculation (GGA-PBE) on a relaxed structure of Zr2NiPb.

The structure in extended XYZ format:
```
4
Lattice="1.784 1.030 8.075 -1.784 1.030 8.075 0.000 -2.059 8.075" Properties=species:S:1:pos:R:3 pbc="T T T"
Zr 0.000 0.000 5.560
Zr 0.000 0.000 18.666
Ni 0.000 0.000 12.113
Pb 0.000 0.000 0.000
```

Values from the calculation:
Its formation energy is -0.5 eV per formula unit. Its space-group type is R-3m (166).



VASP calculation (GGA-PBE) on a relaxed structure of HgIrRu2.

The structure in extended XYZ format:
```
4
Lattice="1.400 -2.407 0.000 1.400 2.407 0.000 0.000 0.000 9.577" Properties=species:S:1:pos:R:3 pbc="T T T"
Hg 0.000 0.000 0.000
Ir 1.400 0.000 7.007
Ru 0.000 0.000 4.754
Ru 1.400 0.000 2.562
```

Values from the calculation:
Its formation energy is 2.3 eV per formula unit. Its space-group type is Cmm2 (35).